Computed, not measured: a geometry-optimized Re2SO7 structure at the GGA-PBE level of DFT.

Cell lengths 7.973, 5.829, 5.440 Å; angles 90.00, 90.00, 90.00 degrees
Fractional coordinates of all 20 atoms:
O1 0.500 0.738 0.240
O2 0.836 0.978 0.458
O3 0.500 0.193 0.640
O4 0.229 0.486 0.422
O5 0.664 0.022 0.958
O6 0.729 0.514 0.922
O7 0.000 0.807 0.140
O8 0.164 0.978 0.458
O9 0.271 0.514 0.922
O10 0.500 0.767 0.691
O11 0.000 0.233 0.191
O12 0.771 0.486 0.422
O13 0.336 0.022 0.958
O14 0.000 0.262 0.740
Re1 0.769 0.293 0.688
Re2 0.269 0.707 0.188
Re3 0.231 0.293 0.688
Re4 0.731 0.707 0.188
S1 0.000 0.018 0.313
S2 0.500 0.982 0.813

***

Computed, not measured: a geometry-optimized Re2S2O13 structure at the GGA-PBE level of DFT.

Cell lengths 7.006, 7.109, 16.823 Å; angles 90.00, 90.00, 90.00 degrees
Fractional coordinates of all 68 atoms:
O1 0.999 0.886 0.873
O2 0.227 0.391 0.036
O3 0.227 0.391 0.464
O4 0.525 0.656 0.061
O5 0.001 0.114 0.127
O6 0.656 0.512 0.821
O7 0.275 0.638 0.847
O8 0.365 0.307 0.750
O9 0.275 0.862 0.347
O10 0.773 0.609 0.964
O11 0.525 0.844 0.939
O12 0.344 0.488 0.321
O13 0.816 0.250 0.500
O14 0.999 0.614 0.127
O15 0.059 0.374 0.250
O16 0.184 0.750 0.500
O17 0.059 0.126 0.750
O18 0.227 0.109 0.536
O19 0.475 0.344 0.939
O20 0.773 0.891 0.464
O21 0.941 0.874 0.250
O22 0.999 0.886 0.627
O23 0.275 0.862 0.153
O24 0.344 0.488 0.179
O25 0.475 0.156 0.439
O26 0.656 0.512 0.679
O27 0.001 0.386 0.627
O28 0.635 0.693 0.250
O29 0.344 0.012 0.679
O30 0.656 0.988 0.179
O31 0.001 0.386 0.873
O32 0.773 0.891 0.036
O33 0.001 0.114 0.373
O34 0.941 0.626 0.750
O35 0.725 0.138 0.653
O36 0.184 0.750 0.000
O37 0.816 0.250 0.000
O38 0.999 0.614 0.373
O39 0.656 0.988 0.321
O40 0.525 0.844 0.561
O41 0.475 0.344 0.561
O42 0.525 0.656 0.439
O43 0.635 0.807 0.750
O44 0.365 0.193 0.250
O45 0.725 0.362 0.347
O46 0.275 0.638 0.653
O47 0.773 0.609 0.536
O48 0.725 0.138 0.847
O49 0.344 0.012 0.821
O50 0.227 0.109 0.964
O51 0.475 0.156 0.061
O52 0.725 0.362 0.153
Re1 0.768 0.343 0.897
Re2 0.232 0.843 0.603
Re3 0.768 0.343 0.603
Re4 0.768 0.157 0.103
Re5 0.232 0.843 0.897
Re6 0.232 0.657 0.397
Re7 0.768 0.157 0.397
Re8 0.232 0.657 0.103
S1 0.354 0.250 0.500
S2 0.646 0.750 0.000
S3 0.646 0.750 0.500
S4 0.736 0.634 0.750
S5 0.736 0.866 0.250
S6 0.264 0.134 0.750
S7 0.264 0.366 0.250
S8 0.354 0.250 0.000

Output
The distance to the lowest polymorph of the same formula comes out at 8 meV per atom.

***

Computed, not measured: a geometry-optimized Sm2Re2S2O5 structure at the GGA-PBE level of DFT.

Cell lengths 11.259, 11.259, 11.259 Å; angles 159.65, 159.65, 28.94 degrees
Fractional coordinates of all 11 atoms:
O1 0.598 0.098 0.500
O2 0.098 0.598 0.500
O3 0.500 0.500 0.000
O4 0.902 0.402 0.500
O5 0.402 0.902 0.500
Re1 0.584 0.584 0.000
Re2 0.416 0.416 0.000
S1 0.702 0.702 0.000
S2 0.298 0.298 0.000
Sm1 0.836 0.836 0.000
Sm2 0.164 0.164 0.000

***

Number 1: energy -7.348 eV/atom. Number 2: energy -7.006 eV/atom. Number 3: energy -7.948 eV/atom.